Entry 1:
# SrNd2Cd9 (GGA-PBE, optimized geometry)
# Crystal system = trigonal
data_SrNd2Cd9
_space_group_name_H-M_alt 'R -3 m'
_space_group_IT_number 166
_space_group_name_Hall '-R 3 2"'
_cell_length_a 6.1031
_cell_length_b 6.1031
_cell_length_c 28.8441
_cell_angle_alpha 90.00
_cell_angle_beta 90.00
_cell_angle_gamma 120.00
loop_
_atom_site_label
_atom_site_fract_x
_atom_site_fract_y
_atom_site_fract_z
_atom_site_occupancy
Sr1 0.0000 0.0000 0.0000 1
Nd1 0.0000 0.0000 0.1428 1
Cd1 0.0000 0.0000 0.3355 1
Cd2 0.0000 0.0000 0.5000 1
Cd3 0.0082 0.5041 0.9146 1

Entry 2:
# La3Zn8Cu (GGA-PBE, optimized geometry)
# Crystal system = trigonal
data_La3Zn8Cu
_space_group_name_H-M_alt 'R 3 m'
_space_group_IT_number 160
_space_group_name_Hall 'R 3 -2"'
_cell_length_a 5.5654
_cell_length_b 5.5654
_cell_length_c 27.1117
_cell_angle_alpha 90.00
_cell_angle_beta 90.00
_cell_angle_gamma 120.00
loop_
_atom_site_label
_atom_site_fract_x
_atom_site_fract_y
_atom_site_fract_z
_atom_site_occupancy
La1 0.0000 0.0000 0.0000 1
La2 0.0000 0.0000 0.1274 1
La3 0.0000 0.0000 0.5123 1
Zn1 0.0000 0.0000 0.3146 1
Zn2 0.0000 0.0000 0.8161 1
Zn3 0.9998 0.4999 0.0644 1
Zn4 0.0032 0.5016 0.5677 1
Cu1 0.0000 0.0000 0.6456 1

Entry 3:
# PrNdDy4Er2 (GGA-PBE, optimized geometry)
# Crystal system = orthorhombic
data_PrNdDy4Er2
_space_group_name_H-M_alt 'I m m a'
_space_group_IT_number 74
_space_group_name_Hall '-I 2b 2'
_cell_length_a 6.813
_cell_length_b 11.817
_cell_length_c 13.265
_cell_angle_alpha 90.00
_cell_angle_beta 90.00
_cell_angle_gamma 90.00
loop_
_atom_site_label
_atom_site_fract_x
_atom_site_fract_y
_atom_site_fract_z
_atom_site_occupancy
Pr1 0.250 0.250 0.250 1
Nd1 0.000 0.000 0.000 1
Dy1 0.000 0.005 0.747 1
Dy2 0.248 0.250 0.505 1
Er1 0.000 0.000 0.500 1
Er2 0.250 0.250 0.750 1

Entry 4:
# KBa2W (GGA-PBE, optimized geometry)
# ΔE to the lowest computed polymorph = 118 meV/atom
# Crystal system = monoclinic
data_KBa2W
_space_group_name_H-M_alt 'C 1 2/m 1'
_space_group_IT_number 12
_cell_length_a 8.658
_cell_length_b 3.886
_cell_length_c 11.793
_cell_angle_alpha 90.00
_cell_angle_beta 95.49
_cell_angle_gamma 90.00
loop_
_space_group_symop_operation_xyz
'x,y,z'
'-x,-y,-z'
'-x,y,-z'
'x,-y,z'
'x+1/2,y+1/2,z'
'-x+1/2,-y+1/2,-z'
'-x+1/2,y+1/2,-z'
'x+1/2,-y+1/2,z'
loop_
_atom_site_label
_atom_site_fract_x
_atom_site_fract_y
_atom_site_fract_z
_atom_site_occupancy
K1 0.000 0.000 0.000 1
Ba1 0.224 0.000 0.668 1
W1 0.000 0.500 0.500 1

Entry 5:
# DyTm2PuP4 (GGA-PBE, optimized geometry)
# Crystal system = monoclinic
data_DyTm2PuP4
_space_group_name_H-M_alt 'P 1 2/m 1'
_space_group_IT_number 10
_cell_length_a 6.865
_cell_length_b 3.980
_cell_length_c 6.873
_cell_angle_alpha 90.00
_cell_angle_beta 109.51
_cell_angle_gamma 90.00
loop_
_space_group_symop_operation_xyz
'x,y,z'
'-x,-y,-z'
'-x,y,-z'
'x,-y,z'
loop_
_atom_site_label
_atom_site_fract_x
_atom_site_fract_y
_atom_site_fract_z
_atom_site_occupancy
Dy1 0.000 0.000 0.000 1
Tm1 0.500 0.000 0.500 1
Tm2 0.500 0.500 0.000 1
Pu1 0.000 0.500 0.500 1
P1 0.251 0.000 0.748 1
P2 0.252 0.500 0.253 1

Entry 6:
# RbBCl3 (GGA-PBE, optimized geometry)
# ΔE to the lowest computed polymorph = 0 meV/atom
# Crystal system = monoclinic
data_RbBCl3
_space_group_name_H-M_alt 'P 1 21/c 1'
_space_group_IT_number 14
_cell_length_a 7.009
_cell_length_b 7.585
_cell_length_c 12.399
_cell_angle_alpha 90.00
_cell_angle_beta 124.19
_cell_angle_gamma 90.00
loop_
_space_group_symop_operation_xyz
'x,y,z'
'-x,-y,-z'
'-x,y+1/2,-z+1/2'
'x,-y+1/2,z+1/2'
loop_
_atom_site_label
_atom_site_fract_x
_atom_site_fract_y
_atom_site_fract_z
_atom_site_occupancy
Rb1 0.249 0.024 0.251 1
B1 0.048 0.595 0.046 1
Cl1 0.201 0.240 0.486 1
Cl2 0.231 0.545 0.228 1
Cl3 0.232 0.734 0.010 1

Entry 7:
# TlNiHg4 (GGA-PBE, optimized geometry)
# Crystal system = cubic
data_TlNiHg4
_space_group_name_H-M_alt 'F -4 3 m'
_space_group_IT_number 216
_space_group_name_Hall 'F -4 2 3'
_cell_length_a 8.442
_cell_length_b 8.442
_cell_length_c 8.442
_cell_angle_alpha 90.00
_cell_angle_beta 90.00
_cell_angle_gamma 90.00
loop_
_atom_site_label
_atom_site_fract_x
_atom_site_fract_y
_atom_site_fract_z
_atom_site_occupancy
Tl1 0.000 0.000 0.000 1
Ni1 0.250 0.250 0.250 1
Hg1 0.124 0.124 0.624 1

Entry 8:
# Pd2Au2I (GGA-PBE, optimized geometry)
# ΔE to the lowest computed polymorph = 97 meV/atom
# Crystal system = tetragonal
data_Pd2Au2I
_space_group_name_H-M_alt 'P 4/m b m'
_space_group_IT_number 127
_space_group_name_Hall '-P 4 2ab'
_cell_length_a 7.774
_cell_length_b 7.774
_cell_length_c 3.272
_cell_angle_alpha 90.00
_cell_angle_beta 90.00
_cell_angle_gamma 90.00
loop_
_atom_site_label
_atom_site_fract_x
_atom_site_fract_y
_atom_site_fract_z
_atom_site_occupancy
Pd1 0.156 0.344 0.000 1
Au1 0.137 0.637 0.500 1
I1 0.000 0.000 0.500 1

Number 1: magnetization 0.0 μB/f.u., total DFT energy (no corrections) -67.74 eV/cell. Number 2: magnetization 0.0 μB/f.u., total DFT energy (no corrections) -94.84 eV/cell. Number 3: magnetization 2.3 μB/f.u., total DFT energy (no corrections) -134.78 eV/cell. Number 4: magnetization 2.6 μB/f.u., total DFT energy (no corrections) -26.87 eV/cell. Number 5: magnetization 4.9 μB/f.u., total DFT energy (no corrections) -61.39 eV/cell. Number 6: magnetization 0.0 μB/f.u., total DFT energy (no corrections) -79.08 eV/cell. Number 7: magnetization 0.0 μB/f.u., total DFT energy (no corrections) -26.34 eV/cell. Number 8: magnetization 0.0 μB/f.u., total DFT energy (no corrections) -34.72 eV/cell.